A | # Cu2SbAs

A relaxed Cu2SbAs crystal (PBE, Alexandria via LeMat-Bulk).

a = 3.083 Å, b = 3.083 Å, c = 7.491 Å
α = 90.00°, β = 90.00°, γ = 97.37°
Fractional positions:
Cu  0.000  0.000  0.217
Cu  0.000  0.000  0.783
Sb  0.500  0.500  0.500
As  0.500  0.500  0.000

Its space group is Cmmm, No. 65. As for the crystal system: orthorhombic. For the density of states at the Fermi level, the calculation gives 1.78 states/eV per cell.



B | # Cu2SbAs

A relaxed Cu2SbAs crystal (PBE, Alexandria via LeMat-Bulk).

a = 2.895 Å, b = 3.575 Å, c = 7.261 Å
α = 90.00°, β = 90.00°, γ = 90.00°
Fractional positions:
Cu  0.000  0.000  0.000
Cu  0.500  0.500  0.180
Sb  0.000  0.000  0.405
As  0.500  0.500  0.833

Its space group is Pmm2, No. 25. As for the crystal system: orthorhombic. For the density of states at the Fermi level, the calculation gives 1.01 states/eV per cell.



Of them, the most stable is B and the least stable is A.